(1)
ZnPd2Br8 | PBE | relaxed

The structure in POSCAR format:
```
ZnPd2Br8
1.0
4.963 -4.429 0.000
4.963 4.429 0.000
-3.381 0.000 9.858
Zn Pd Br
1 2 8
direct
0.000 0.000 0.000
0.095 0.095 0.373
0.905 0.905 0.627
0.155 0.766 0.822
0.158 0.158 0.625
0.234 0.845 0.178
0.347 0.347 0.401
0.653 0.653 0.599
0.766 0.155 0.822
0.842 0.842 0.375
0.845 0.234 0.178
```

Values from the calculation:
- crystal system = monoclinic
- VASP energy (eV per atom) = -2.556



(2)
ScTa5C3 | PBE | relaxed

The structure in POSCAR format:
```
ScTa5C3
1.0
4.912 -3.649 0.000
4.912 3.649 0.000
-3.512 0.000 7.262
Sc Ta C
2 10 6
direct
0.103 0.103 0.306
0.897 0.897 0.694
0.042 0.634 0.333
0.234 0.234 0.030
0.295 0.705 0.000
0.366 0.958 0.667
0.429 0.429 0.634
0.571 0.571 0.366
0.634 0.042 0.333
0.705 0.295 0.000
0.766 0.766 0.970
0.958 0.366 0.667
0.000 0.000 0.000
0.000 0.000 0.500
0.332 0.332 0.833
0.339 0.339 0.334
0.661 0.661 0.666
0.668 0.668 0.167
```

Values from the calculation:
- crystal system = monoclinic
- energy of formation from the pure elements (eV per formula unit) = -4.34



(3)
NiWCl | PBE | relaxed

The structure in POSCAR format:
```
NiWCl
1.0
2.913 0.000 0.000
-1.456 2.523 0.000
0.000 0.000 6.093
Ni W Cl
1 1 1
direct
0.000 0.000 0.000
0.667 0.333 0.314
0.333 0.667 0.637
```

Values from the calculation:
- crystal system = trigonal
- energy relative to the lowest polymorph listed for this composition (meV/atom) = 0



(4)
CaNd2Ho | PBE | relaxed

The structure in POSCAR format:
```
CaNd2Ho
1.0
8.264 0.000 0.000
0.000 8.264 0.000
0.000 0.000 8.264
Ca Nd Ho
4 8 4
direct
0.000 0.000 0.000
0.000 0.500 0.500
0.500 0.000 0.500
0.500 0.500 0.000
0.250 0.250 0.250
0.250 0.250 0.750
0.250 0.750 0.250
0.250 0.750 0.750
0.750 0.250 0.250
0.750 0.250 0.750
0.750 0.750 0.250
0.750 0.750 0.750
0.000 0.000 0.500
0.000 0.500 0.000
0.500 0.000 0.000
0.500 0.500 0.500
```

Values from the calculation:
- crystal system = cubic
- energy relative to the lowest polymorph listed for this composition (meV/atom) = 84
- energy of formation from the pure elements (eV per formula unit) = 0.47



(5)
Mn3Tc | PBE | relaxed

The structure in POSCAR format:
```
Mn3Tc
1.0
3.082 0.000 0.000
0.000 3.991 0.000
0.000 0.000 7.952
Mn Tc
6 2
direct
0.000 0.000 0.000
0.000 0.500 0.253
0.000 0.500 0.747
0.500 0.000 0.247
0.500 0.000 0.753
0.500 0.500 0.500
0.000 0.000 0.500
0.500 0.500 0.000
```

Values from the calculation:
- crystal system = orthorhombic
- energy of formation from the pure elements (eV per formula unit) = 0.55



(6)
CoTcAg2 | PBE | relaxed

The structure in POSCAR format:
```
CoTcAg2
1.0
2.743 0.000 0.000
-1.372 2.376 0.000
0.000 0.000 28.284
Co Tc Ag
3 3 6
direct
0.000 0.000 0.000
0.333 0.667 0.667
0.667 0.333 0.333
0.000 0.000 0.500
0.333 0.667 0.167
0.667 0.333 0.833
0.000 0.000 0.253
0.000 0.000 0.747
0.333 0.667 0.414
0.333 0.667 0.920
0.667 0.333 0.080
0.667 0.333 0.586
```

Values from the calculation:
- crystal system = trigonal
- energy relative to the lowest polymorph listed for this composition (meV/atom) = 280
- energy of formation from the pure elements (eV per formula unit) = 2.17



(7)
AcTbPm2Dy4 | PBE | relaxed

The structure in POSCAR format:
```
AcTbPm2Dy4
1.0
-3.466 5.976 6.729
3.466 -5.976 6.729
3.466 5.976 -6.729
Ac Tb Pm Dy
2 2 4 8
direct
0.000 0.000 0.000
0.500 0.000 0.500
0.500 0.000 0.000
0.500 0.500 0.500
0.000 0.000 0.500
0.000 0.500 0.000
0.000 0.500 0.500
0.500 0.500 0.000
0.245 0.742 0.503
0.253 0.266 0.513
0.253 0.740 0.987
0.261 0.258 0.003
0.739 0.742 0.997
0.747 0.260 0.013
0.747 0.734 0.487
0.755 0.258 0.497
```

Values from the calculation:
- crystal system = orthorhombic
- energy of formation from the pure elements (eV per formula unit) = 3.43



(8)
Tb8Al2Tc | PBE | relaxed

The structure in POSCAR format:
```
Tb8Al2Tc
1.0
8.587 -2.681 0.000
8.587 2.681 0.000
-2.555 0.000 6.464
Tb Al Tc
8 2 1
direct
0.013 0.013 0.272
0.196 0.196 0.754
0.352 0.352 0.579
0.394 0.394 0.089
0.606 0.606 0.911
0.648 0.648 0.421
0.804 0.804 0.246
0.987 0.987 0.728
0.184 0.184 0.187
0.816 0.816 0.813
0.500 0.500 0.500
```

Values from the calculation:
- crystal system = monoclinic
- energy of formation from the pure elements (eV per formula unit) = -1.68



(9)
LaFePb2 | PBE | relaxed

The structure in POSCAR format:
```
LaFePb2
1.0
4.848 0.000 0.000
0.000 4.848 0.000
0.000 0.000 20.310
La Fe Pb
4 4 8
direct
0.000 0.000 0.000
0.000 0.500 0.250
0.500 0.000 0.750
0.500 0.500 0.500
0.000 0.000 0.500
0.000 0.500 0.750
0.500 0.000 0.250
0.500 0.500 0.000
0.186 0.250 0.625
0.250 0.686 0.875
0.250 0.814 0.375
0.314 0.250 0.125
0.686 0.750 0.125
0.750 0.186 0.375
0.750 0.314 0.875
0.814 0.750 0.625
```

Values from the calculation:
- crystal system = tetragonal
- energy relative to the lowest polymorph listed for this composition (meV/atom) = 303
- energy of formation from the pure elements (eV per formula unit) = 1.12



(10)
MgIn4Bi | PBE | relaxed

The structure in POSCAR format:
```
MgIn4Bi
1.0
0.000 4.417 4.417
4.417 0.000 4.417
4.417 4.417 0.000
Mg In Bi
1 4 1
direct
0.000 0.000 0.000
0.125 0.625 0.625
0.625 0.125 0.625
0.625 0.625 0.125
0.625 0.625 0.625
0.250 0.250 0.250
```

Values from the calculation:
- crystal system = cubic
- energy relative to the lowest polymorph listed for this composition (meV/atom) = 107
- energy of formation from the pure elements (eV per formula unit) = 0.80



(11)
CeMgZr7O16 | PBE | relaxed

The structure in POSCAR format:
```
CeMgZr7O16
1.0
7.496 0.000 0.000
0.000 7.496 0.000
0.000 0.000 5.461
Ce Mg Zr O
1 1 7 16
direct
0.000 0.000 0.000
0.000 0.000 0.500
0.000 0.500 0.013
0.269 0.269 0.500
0.269 0.731 0.500
0.500 0.000 0.987
0.500 0.500 0.000
0.731 0.269 0.500
0.731 0.731 0.500
0.000 0.228 0.334
0.000 0.281 0.800
0.000 0.719 0.800
0.000 0.772 0.334
0.228 0.000 0.666
0.229 0.500 0.227
0.281 0.000 0.200
0.290 0.500 0.716
0.500 0.229 0.773
0.500 0.290 0.284
0.500 0.710 0.284
0.500 0.771 0.773
0.710 0.500 0.716
0.719 0.000 0.200
0.771 0.500 0.227
0.772 0.000 0.666
```

Values from the calculation:
- crystal system = tetragonal
- energy relative to the lowest polymorph listed for this composition (meV/atom) = 69



(12)
MgCo3Sb | PBE | relaxed

The structure in POSCAR format:
```
MgCo3Sb
1.0
4.647 0.000 0.000
0.000 4.647 0.000
0.000 0.000 4.647
Mg Co Sb
1 3 1
direct
0.000 0.000 0.000
0.000 0.500 0.500
0.500 0.000 0.500
0.500 0.500 0.000
0.500 0.500 0.500
```

Values from the calculation:
- crystal system = cubic
- energy relative to the lowest polymorph listed for this composition (meV/atom) = 0